# 1
Entry from the Alexandria database: a relaxed PmSi3Ni9 crystal (GGA-PBE).

Formation energy without anion corrections (meV per atom): -465.9
DOS at the Fermi energy (states/eV per cell): 8.50

abc: 4.8049 6.1091 6.3182
angles: 82.20 67.65 69.10
Last column: nearest neighbours and their distance in Å.
Fractional positions:
Pm  0.0000  0.0000  0.0000  14 Ni 2.86-3.05, 6 Si 3.14-3.16
Si  0.5000  0.5000  0.0000  6 Ni 2.33-2.40
Si  0.0000  0.0000  0.5000  8 Ni 2.37-2.45, 2 Si 2.40
Si  0.5000  0.0000  0.5000  8 Ni 2.37-2.45, 2 Si 2.40
Ni  0.7171  0.7735  0.7703  3 Si 2.33-2.37, 6 Ni 2.44-2.60
Ni  0.2829  0.2265  0.2297  3 Si 2.33-2.37, 6 Ni 2.44-2.60
Ni  0.5126  0.2265  0.7703  3 Si 2.33-2.37, 6 Ni 2.44-2.60
Ni  0.4874  0.7735  0.2297  3 Si 2.33-2.37, 6 Ni 2.44-2.60
Ni  0.6664  0.3438  0.3563  3 Si 2.45-2.62, 6 Ni 2.46-2.60
Ni  0.3336  0.6562  0.6437  3 Si 2.45-2.62, 6 Ni 2.46-2.60
Ni  0.9773  0.6562  0.3563  3 Si 2.45-2.62, 6 Ni 2.46-2.60
Ni  0.0227  0.3438  0.6437  3 Si 2.45-2.62, 6 Ni 2.46-2.60
Ni  0.0000  0.5000  0.0000  2 Si 2.40, 8 Ni 2.44-2.51



# 2
Entry from the Alexandria database: a relaxed SiOsPt crystal (GGA-PBE).

Energy above the most stable polymorph in this dataset (eV per atom): 0.372
Formation energy without anion corrections (meV per atom): 78.1
DOS at the Fermi energy (states/eV per cell): 2.58

abc: 6.6682 6.3895 2.8282
angles: 83.07 72.03 24.90
Last column: nearest neighbours and their distance in Å.
Fractional positions:
Os  0.0182  0.0182  0.9818  2 Si 2.34
Pt  0.3172  0.3172  0.6828  2 Si 2.41
Si  0.6645  0.6645  0.3355  2 Os 2.34, 2 Pt 2.41



# 3
Entry from the Alexandria database: a relaxed CdSbO4 crystal (GGA-PBE).

Energy above the most stable polymorph in this dataset (eV per atom): 0.025
Formation energy without anion corrections (meV per atom): -974.0
DOS at the Fermi energy (states/eV per cell): 6.79

abc: 6.1536 7.2879 5.6116
angles: 115.47 106.78 113.57
Last column: nearest neighbours and their distance in Å.
Fractional positions:
Cd  0.3521  0.6021  0.2041  6 O 2.23-2.45
Cd  0.6479  0.3979  0.7959  6 O 2.23-2.45
Sb  0.2268  0.9768  0.9537  6 O 1.97-2.05
Sb  0.7732  0.0232  0.0463  6 O 1.97-2.05
O  0.9146  0.3260  0.0618  1 Sb 1.97
O  0.8098  0.8277  0.6860  2 Sb 2.04-2.05
O  0.6472  0.7358  0.0618  1 Sb 1.97
O  0.3761  0.8583  0.6860  2 Sb 2.04-2.05
O  0.6239  0.1417  0.3140  2 Sb 2.04-2.05
O  0.3528  0.2642  0.9382  1 Sb 1.97
O  0.1902  0.1723  0.3140  2 Sb 2.04-2.05
O  0.0854  0.6740  0.9382  1 Sb 1.97



# 4
Entry from the Alexandria database: a relaxed NdTm2Tc9 crystal (GGA-PBE).

Final energy (eV/atom): -8.973
DOS at the Fermi energy (states/eV per cell): 12.87

abc: 5.3705 5.3705 9.2260
angles: 73.08 73.08 60.00
Last column: nearest neighbours and their distance in Å.
Fractional positions:
Nd  0.0000  0.0000  0.0000  18 Tc 3.10-3.47
Tm  0.8564  0.8564  0.4307  12 Tc 3.10-3.16, 3 Tm 3.33
Tm  0.1436  0.1436  0.5693  12 Tc 3.10-3.16, 3 Tm 3.33
Tc  0.6609  0.6609  0.0172  6 Tc 2.60-2.78
Tc  0.3391  0.3391  0.9828  6 Tc 2.60-2.78
Tc  0.5000  0.5000  0.5000  6 Tc 2.68
Tc  0.4099  0.4099  0.2530  7 Tc 2.59-2.78
Tc  0.9272  0.4099  0.2530  7 Tc 2.59-2.78
Tc  0.4099  0.9272  0.2530  7 Tc 2.59-2.78
Tc  0.5901  0.5901  0.7470  7 Tc 2.59-2.78
Tc  0.5901  0.0728  0.7470  7 Tc 2.59-2.78
Tc  0.0728  0.5901  0.7470  7 Tc 2.59-2.78



# 5
Entry from the Alexandria database: a relaxed Ce2Y3N4 crystal (GGA-PBE).

Formation energy without anion corrections (meV per atom): -1384.4
DOS at the Fermi energy (states/eV per cell): 8.22

abc: 3.4838 6.0879 7.9987
angles: 75.20 77.42 73.37
Last column: nearest neighbours and their distance in Å.
Fractional positions:
Ce  0.6038  0.1811  0.6113  4 N 2.39-2.63
Ce  0.3962  0.8189  0.3887  4 N 2.39-2.63
Y  0.0000  0.0000  0.0000  6 N 2.47-2.49
Y  0.2073  0.3997  0.1856  5 N 2.41-2.50
Y  0.7927  0.6003  0.8144  5 N 2.41-2.50
N  0.8048  0.0969  0.2934  3 Ce 2.39-2.63, 3 Y 2.47-2.50
N  0.1952  0.9031  0.7066  3 Ce 2.39-2.63, 3 Y 2.47-2.50
N  0.3982  0.3029  0.9006  5 Y 2.41-2.49, 1 Ce 2.50
N  0.6018  0.6971  0.0994  5 Y 2.41-2.49, 1 Ce 2.50



# 6
Entry from the Alexandria database: a relaxed Ho3Sc7Tl2 crystal (GGA-PBE).

Final energy (eV/atom): -5.265
DOS at the Fermi energy (states/eV per cell): 13.89

abc: 3.4456 5.2668 17.3798
angles: 93.80 90.00 90.00
Last column: nearest neighbours and their distance in Å.
Fractional positions:
Ho  0.5000  0.5000  0.0000  10 Sc 3.15-3.43, 2 Ho 3.45
Ho  0.0000  0.2214  0.3680  4 Tl 3.42-3.43, 6 Sc 3.44-3.53, 2 Ho 3.45
Ho  0.0000  0.7786  0.6320  4 Tl 3.42-3.43, 6 Sc 3.44-3.53, 2 Ho 3.45
Sc  0.5000  0.7413  0.4604  1 Tl 2.95, 2 Sc 2.97
Sc  0.5000  0.2587  0.5396  1 Tl 2.95, 2 Sc 2.97
Sc  0.0000  0.6768  0.1479  2 Tl 3.01, 5 Sc 3.14-3.18, 2 Ho 3.18
Sc  0.0000  0.0000  0.0000  4 Ho 3.15, 8 Sc 3.18-3.45
Sc  0.0000  0.3232  0.8521  2 Tl 3.01, 5 Sc 3.14-3.18, 2 Ho 3.18
Sc  0.5000  0.8234  0.8351  8 Sc 3.14-3.45, 2 Tl 3.41-3.42, 1 Ho 3.43
Sc  0.5000  0.1766  0.1649  8 Sc 3.14-3.45, 2 Tl 3.41-3.42, 1 Ho 3.43
Tl  0.5000  0.7033  0.2905  3 Sc 2.95-3.01
Tl  0.5000  0.2967  0.7095  3 Sc 2.95-3.01



# 7
Entry from the Alexandria database: a relaxed AsH2I2 crystal (GGA-PBE).

Final energy (eV/atom): -2.529
DOS at the Fermi energy (states/eV per cell): 7.55

abc: 5.6936 6.8483 7.5549
angles: 116.95 112.14 90.00
Last column: nearest neighbours and their distance in Å.
Fractional positions:
As  0.7500  0.5000  0.0000  4 H 1.78
As  0.2500  0.5000  0.0000  4 H 1.78
H  0.4317  0.5302  0.8634  2 As 1.78
H  0.5683  0.4698  0.1366  2 As 1.78
H  0.0683  0.6669  0.1366  2 As 1.78
H  0.9317  0.3331  0.8634  2 As 1.78
I  0.8577  0.6696  0.7155  2 H 2.95-2.96, 2 As 3.10
I  0.1423  0.3304  0.2845  2 H 2.95-2.96, 2 As 3.10
I  0.6423  0.9542  0.2845  2 H 2.95-2.96, 2 As 3.10
I  0.3577  0.0458  0.7155  2 H 2.95-2.96, 2 As 3.10



# 8
Entry from the Alexandria database: a relaxed VMoRh2 crystal (GGA-PBE).

Energy above the most stable polymorph in this dataset (eV per atom): 0.578
DOS at the Fermi energy (states/eV per cell): 7.71

abc: 3.7986 3.7986 9.0810
angles: 77.93 77.93 90.00
Last column: nearest neighbours and their distance in Å.
Fractional positions:
Mo  0.0000  0.0000  0.0000  4 Rh 2.56, 4 V 2.69
Mo  0.7500  0.2500  0.5000  4 Rh 2.56, 4 V 2.69
Rh  0.6166  0.1250  0.2500  2 V 2.54, 2 Mo 2.56, 4 Rh 2.64-2.73
Rh  0.1334  0.6250  0.2500  2 V 2.54, 2 Mo 2.56, 4 Rh 2.64-2.73
Rh  0.3750  0.3834  0.7500  2 V 2.54, 2 Mo 2.56, 4 Rh 2.64-2.73
Rh  0.8750  0.8666  0.7500  2 V 2.54, 2 Mo 2.56, 4 Rh 2.64-2.73
V  0.5000  0.5000  0.0000  4 Rh 2.54, 4 Mo 2.69
V  0.2500  0.7500  0.5000  4 Rh 2.54, 4 Mo 2.69



# 9
Entry from the Alexandria database: a relaxed LaCdAs2Pd5 crystal (GGA-PBE).

Final energy (eV/atom): -5.083
DOS at the Fermi energy (states/eV per cell): 3.19

abc: 4.7179 4.7179 7.7778
angles: 90.00 90.00 90.00
Last column: nearest neighbours and their distance in Å.
Fractional positions:
La  0.0000  0.0000  0.5000  12 Pd 3.03-3.34
Cd  0.0000  0.0000  0.0000  8 Pd 3.08
As  0.5000  0.5000  0.1638  5 Pd 2.46-2.61, 1 As 2.55
As  0.5000  0.5000  0.8362  5 Pd 2.46-2.61, 1 As 2.55
Pd  0.0000  0.5000  0.2556  2 As 2.46
Pd  0.5000  0.0000  0.2556  2 As 2.46
Pd  0.0000  0.5000  0.7444  2 As 2.46
Pd  0.5000  0.0000  0.7444  2 As 2.46
Pd  0.5000  0.5000  0.5000  2 As 2.61



# 10
Entry from the Alexandria database: a relaxed ZnGaPdAu crystal (GGA-PBE).

Energy above the most stable polymorph in this dataset (eV per atom): 0.000
DOS at the Fermi energy (states/eV per cell): 2.09

abc: 4.4556 4.4556 4.4556
angles: 60.00 60.00 60.00
Last column: nearest neighbours and their distance in Å.
Fractional positions:
Zn  0.0000  0.0000  0.0000  4 Pd 2.73, 4 Au 2.73
Au  0.2500  0.2500  0.2500  4 Zn 2.73, 4 Ga 2.73
Ga  0.5000  0.5000  0.5000  4 Pd 2.73, 4 Au 2.73
Pd  0.7500  0.7500  0.7500  4 Zn 2.73, 4 Ga 2.73



# 11
Entry from the Alexandria database: a relaxed YNp2PaS4 crystal (GGA-PBE).

Formation energy without anion corrections (meV per atom): -1161.9
DOS at the Fermi energy (states/eV per cell): 24.24

abc: 4.8217 8.3975 4.8245
angles: 125.05 90.00 90.00
Last column: nearest neighbours and their distance in Å.
Fractional positions:
Y  0.0000  0.0000  0.0000  8 S 2.97
Np  0.5000  0.0000  0.5000  8 S 2.97
Np  0.0000  0.5000  0.5000  8 S 2.95
Pa  0.5000  0.5000  0.0000  8 S 2.95
S  0.5000  0.2519  0.2519  4 Np 2.95-2.97, 2 Pa 2.95, 2 Y 2.97
S  0.5000  0.7481  0.7481  4 Np 2.95-2.97, 2 Pa 2.95, 2 Y 2.97
S  0.0000  0.2519  0.7519  2 Pa 2.95, 4 Np 2.95-2.97, 2 Y 2.97
S  0.0000  0.7481  0.2481  2 Pa 2.95, 4 Np 2.95-2.97, 2 Y 2.97



# 12
Entry from the Alexandria database: a relaxed BaMg2Ga4Ag crystal (GGA-PBE).

Final energy (eV/atom): -2.693
DOS at the Fermi energy (states/eV per cell): 4.18

abc: 4.6946 4.6946 10.1563
angles: 76.64 76.64 60.00
Last column: nearest neighbours and their distance in Å.
Fractional positions:
Ba  0.0000  0.0000  0.0000  8 Ga 3.44-3.70
Mg  0.7689  0.7689  0.6932  7 Ga 2.80-3.08
Mg  0.2311  0.2311  0.3068  7 Ga 2.80-3.08
Ga  0.4053  0.4053  0.7840  1 Ag 2.78, 3 Mg 2.85
Ga  0.8739  0.8739  0.3783  4 Mg 2.80-3.08, 3 Ag 2.96
Ga  0.1261  0.1261  0.6217  4 Mg 2.80-3.08, 3 Ag 2.96
Ga  0.5947  0.5947  0.2160  1 Ag 2.78, 3 Mg 2.85
Ag  0.5000  0.5000  0.5000  8 Ga 2.78-2.96



What did the sixth record say?
Entry from the Alexandria database: a relaxed Ho3Sc7Tl2 crystal (GGA-PBE).

Final energy (eV/atom): -5.265
DOS at the Fermi energy (states/eV per cell): 13.89

abc: 3.4456 5.2668 17.3798
angles: 93.80 90.00 90.00
Last column: nearest neighbours and their distance in Å.
Fractional positions:
Ho  0.5000  0.5000  0.0000  10 Sc 3.15-3.43, 2 Ho 3.45
Ho  0.0000  0.2214  0.3680  4 Tl 3.42-3.43, 6 Sc 3.44-3.53, 2 Ho 3.45
Ho  0.0000  0.7786  0.6320  4 Tl 3.42-3.43, 6 Sc 3.44-3.53, 2 Ho 3.45
Sc  0.5000  0.7413  0.4604  1 Tl 2.95, 2 Sc 2.97
Sc  0.5000  0.2587  0.5396  1 Tl 2.95, 2 Sc 2.97
Sc  0.0000  0.6768  0.1479  2 Tl 3.01, 5 Sc 3.14-3.18, 2 Ho 3.18
Sc  0.0000  0.0000  0.0000  4 Ho 3.15, 8 Sc 3.18-3.45
Sc  0.0000  0.3232  0.8521  2 Tl 3.01, 5 Sc 3.14-3.18, 2 Ho 3.18
Sc  0.5000  0.8234  0.8351  8 Sc 3.14-3.45, 2 Tl 3.41-3.42, 1 Ho 3.43
Sc  0.5000  0.1766  0.1649  8 Sc 3.14-3.45, 2 Tl 3.41-3.42, 1 Ho 3.43
Tl  0.5000  0.7033  0.2905  3 Sc 2.95-3.01
Tl  0.5000  0.2967  0.7095  3 Sc 2.95-3.01